This record from the Alexandria database describes Cr4PN3O16 after structural relaxation. The functional is GGA+U.

Summary:
DOS at the Fermi energy (states/eV/f.u.): 21.082
E_tot (eV per cell): -143.679
Total magnetization (μB/f.u.): 11.5

Cell lengths 8.076, 8.076, 8.076 Å; angles 104.11, 104.11, 104.11 degrees
Site moments in Bohr magnetons follow the coordinates.
Element x y z (fractional)
O 0.226 0.807 0.226  0.24
O 0.866 0.866 0.071  0.31
Cr 0.756 0.369 0.369  -0.21
O 0.846 0.570 0.364  0.24
O 0.846 0.364 0.570  0.24
O 0.807 0.226 0.226  0.24
N 0.972 0.972 0.490  1.91
O 0.570 0.846 0.364  0.24
O 0.570 0.364 0.846  0.24
O 0.364 0.570 0.846  0.24
O 0.866 0.071 0.866  0.31
O 0.311 0.510 0.311  0.00
P 0.329 0.329 0.329  0.00
O 0.510 0.311 0.311  0.00
Cr 0.369 0.756 0.369  -0.21
O 0.311 0.311 0.510  0.00
O 0.226 0.226 0.807  0.24
Cr 0.994 0.994 0.994  -0.29
O 0.177 0.177 0.177  0.00
N 0.490 0.972 0.972  1.91
O 0.364 0.846 0.570  0.24
N 0.972 0.490 0.972  1.91
Cr 0.369 0.369 0.756  -0.21
O 0.071 0.866 0.866  0.31